Crystalline LaPtSeBr2 at its relaxed geometry. Source: the Alexandria database, functional PBE-GGA.

a = 5.7098 Å, b = 5.7098 Å, c = 5.9459 Å
α = 90.00°, β = 90.00°, γ = 90.00°
Last column: nearest neighbours and their distance in Å.
Space group P4/mmm (No. 123)
Symmetry-distinct sites (fractional):
La1 0.0000 0.0000 0.0000 (multiplicity 1)  4 Br 2.85, 2 Se 2.97
Pt1 0.5000 0.5000 0.5000 (multiplicity 1)  4 Se 4.04, 8 Br 4.12
Se1 0.0000 0.0000 0.5000 (multiplicity 1)  2 La 2.97
Br1 0.0000 0.5000 0.0000 (multiplicity 2)  2 La 2.85

Results
For the electronic total energy, the calculation gives -18.816 eV/f.u. The calculated volume is 193.8 Å³ per cell. The energy relative to the elements, uncorrected comes out at -1.02 eV per formula unit. The calculation puts the density at 4.906 g/cm³.

Crystalline La6Pt2Se3Br at its relaxed geometry. Source: the Alexandria database, functional PBE-GGA.

a = 19.1559 Å, b = 4.2090 Å, c = 8.8559 Å
α = 90.00°, β = 104.75°, γ = 90.00°
Last column: nearest neighbours and their distance in Å.
Space group C2/m (No. 12)
Symmetry-distinct sites (fractional):
La1 0.0028 0.0000 0.2647 (multiplicity 4)  3 Se 2.97-3.04, 1 Pt 3.01, 2 Br 3.14
La2 0.1701 0.5000 0.5673 (multiplicity 4)  3 Pt 2.98-3.06, 3 Se 3.16-3.19
La3 0.1725 0.5000 0.0991 (multiplicity 4)  2 Pt 2.94, 3 Se 3.09-3.13, 1 Br 3.19
Pt1 0.1647 0.0000 0.3265 (multiplicity 4)  6 La 2.94-3.06
Se1 0.0000 0.5000 0.5000 (multiplicity 2)  6 La 2.97-3.16
Se2 0.1613 0.0000 0.8321 (multiplicity 4)  6 La 3.04-3.19
Br1 0.0000 0.5000 0.0000 (multiplicity 2)  6 La 3.14-3.19

Results
For the electronic total energy, the calculation gives -72.925 eV/f.u. The calculated volume is 690.5 Å³ per cell. The energy relative to the elements, uncorrected comes out at -19.15 eV per formula unit. The calculation puts the density at 7.409 g/cm³.

Crystalline LaPtSeBr2 at its relaxed geometry. Source: the Alexandria database, functional PBE-GGA.

a = 5.0698 Å, b = 5.0698 Å, c = 5.2288 Å
α = 90.00°, β = 90.00°, γ = 90.00°
Last column: nearest neighbours and their distance in Å.
Space group P4/mmm (No. 123)
Symmetry-distinct sites (fractional):
La1 0.0000 0.0000 0.0000 (multiplicity 1)  4 Se 3.58, 8 Br 3.64
Pt1 0.5000 0.5000 0.5000 (multiplicity 1)  4 Br 2.53, 2 Se 2.61
Se1 0.5000 0.5000 0.0000 (multiplicity 1)  2 Pt 2.61
Br1 0.0000 0.5000 0.5000 (multiplicity 2)  2 Pt 2.53

Results
For the electronic total energy, the calculation gives -21.166 eV/f.u. The calculated volume is 134.4 Å³ per cell. The energy relative to the elements, uncorrected comes out at -3.37 eV per formula unit. The calculation puts the density at 7.077 g/cm³.

Crystalline LaPtSe2Br at its relaxed geometry. Source: the Alexandria database, functional PBE-GGA.

a = 5.8116 Å, b = 5.8116 Å, c = 5.6453 Å
α = 90.00°, β = 90.00°, γ = 90.00°
Last column: nearest neighbours and their distance in Å.
Space group P4/mmm (No. 123)
Symmetry-distinct sites (fractional):
La1 0.0000 0.0000 0.0000 (multiplicity 1)  2 Br 2.82, 4 Se 2.91
Pt1 0.5000 0.5000 0.5000 (multiplicity 1)  8 Se 4.05, 4 Br 4.11
Se1 0.0000 0.5000 0.0000 (multiplicity 2)  2 La 2.91
Br1 0.0000 0.0000 0.5000 (multiplicity 1)  2 La 2.82

Results
For the electronic total energy, the calculation gives -18.891 eV/f.u. The calculated volume is 190.7 Å³ per cell. The energy relative to the elements, uncorrected comes out at 0.72 eV per formula unit. The calculation puts the density at 4.980 g/cm³.

Crystalline La6PtSe2Br3 at its relaxed geometry. Source: the Alexandria database, functional PBE-GGA.

a = 7.5513 Å, b = 13.0254 Å, c = 7.5614 Å
α = 90.00°, β = 109.46°, γ = 90.00°
Last column: nearest neighbours and their distance in Å.
Space group C2/m (No. 12)
Symmetry-distinct sites (fractional):
La1 0.2380 0.1625 0.2251 (multiplicity 8)  1 Pt 2.93, 2 Se 3.01, 3 Br 3.16-3.19
La2 0.2492 0.5000 0.2319 (multiplicity 4)  1 Pt 2.98, 2 Se 3.02, 3 Br 3.18-3.19
Pt1 0.0000 0.0000 0.0000 (multiplicity 2)  6 La 2.93-2.98
Se1 0.0000 0.3339 0.0000 (multiplicity 4)  6 La 3.01-3.02
Br1 0.0000 0.1717 0.5000 (multiplicity 4)  6 La 3.17-3.19
Br2 0.0000 0.5000 0.5000 (multiplicity 2)  6 La 3.16-3.19

Results
For the electronic total energy, the calculation gives -65.940 eV/f.u. The calculated volume is 701.2 Å³ per cell. The energy relative to the elements, uncorrected comes out at -18.35 eV per formula unit. The calculation puts the density at 6.754 g/cm³.

Crystalline La6SiPt2Br3 at its relaxed geometry. Source: the Alexandria database, functional PBE-GGA.

a = 7.5120 Å, b = 12.9982 Å, c = 7.9450 Å
α = 90.00°, β = 108.38°, γ = 90.00°
Last column: nearest neighbours and their distance in Å.
Space group C2/m (No. 12)
Symmetry-distinct sites (fractional):
La1 0.2308 0.0000 0.2097 (multiplicity 4)  2 Pt 2.95, 1 Si 3.00, 3 Br 3.29
La2 0.2407 0.3305 0.2111 (multiplicity 8)  2 Pt 2.94, 1 Si 3.00
Si1 0.0000 0.5000 0.0000 (multiplicity 2)  6 La 3.00
Pt1 0.0000 0.1674 0.0000 (multiplicity 4)  6 La 2.94-2.95
Br1 0.0000 0.0000 0.5000 (multiplicity 2)  6 La 3.29-3.33
Br2 0.0000 0.3400 0.5000 (multiplicity 4)  6 La 3.29-3.34

Results
For the electronic total energy, the calculation gives -66.878 eV/f.u. The calculated volume is 736.2 Å³ per cell. The energy relative to the elements, uncorrected comes out at -14.79 eV per formula unit. The calculation puts the density at 6.728 g/cm³.